The following is a PBE-GGA calculation of YCdAu after structural relaxation, from Alexandria.

The structure belongs to space group P6_3/mmc (No. 194); the cell edges are 5.1113, 5.1113 and 6.0832 Å and the angles 90.00°, 90.00° and 120.00°. The distinct sites, in fractional coordinates, are Y at (0.3333, 0.6667, 0.2500), Cd at (0.0000, 0.0000, 0.0000) and Au at (0.3333, 0.6667, 0.7500).

The magnetic moment is 0.00 Bohr magnetons per cell. The value obtained for the formation enthalpy at 0 K is -2.0 eV/f.u.